[1]
A plane-wave DFT calculation with PBE-GGA was carried out for NaPuI4 after structural relaxation.

The structure in POSCAR format:
```
NaPuI4
1.0
4.573 0.000 0.000
-2.286 8.497 0.289
0.000 -4.079 6.915
I Pu Na
4 1 1
Direct
0.121 0.241 0.475
0.613 0.227 0.932
0.387 0.773 0.068
0.879 0.759 0.525
0.500 0.000 0.500
0.000 0.000 0.000
```

Energy relative to the elements, uncorrected: -1.126 eV/atom
Final energy: -4.7682 eV/atom


[2]
A plane-wave DFT calculation with PBE-GGA was carried out for Na2PuI4 after structural relaxation.

The structure in POSCAR format:
```
Na2PuI4
1.0
-4.482 0.310 -0.932
-1.728 -1.768 7.722
3.335 8.098 -2.054
Na I Pu
2 4 1
Direct
0.727 0.754 0.454
0.273 0.246 0.546
0.118 0.801 0.236
0.882 0.199 0.764
0.633 0.283 0.266
0.367 0.717 0.734
0.000 0.000 0.000
```

Energy above the most stable polymorph in this dataset: 8.3 meV/atom
Energy relative to the elements, uncorrected: -1.117 eV/atom
Final energy: -4.4273 eV/atom


[3]
A plane-wave DFT calculation with PBE-GGA was carried out for NaPuI4 after structural relaxation.

The structure in POSCAR format:
```
NaPuI4
1.0
4.499 0.000 0.837
2.109 10.106 1.173
0.071 -0.239 12.124
I Pu Na
8 2 2
Direct
0.056 0.563 0.825
0.443 0.937 0.675
0.944 0.437 0.175
0.825 0.289 0.562
0.324 0.789 0.062
0.676 0.211 0.938
0.557 0.063 0.325
0.175 0.711 0.438
0.000 0.000 0.500
0.500 0.500 0.000
0.750 0.750 0.250
0.250 0.250 0.750
```

Energy relative to the elements, uncorrected: -1.127 eV/atom
Final energy: -4.7693 eV/atom


[4]
A plane-wave DFT calculation with PBE-GGA was carried out for NaPu3I8 after structural relaxation.

The structure in POSCAR format:
```
NaPu3I8
1.0
9.124 0.000 0.000
-4.562 6.459 -4.543
0.000 -0.032 9.336
I Na Pu
8 1 3
Direct
0.741 0.992 0.236
0.259 0.008 0.764
0.250 0.500 0.236
0.750 0.008 0.764
0.749 0.497 0.239
0.251 0.503 0.761
0.250 0.992 0.236
0.750 0.500 0.764
0.000 0.000 0.000
0.500 0.000 0.000
0.000 0.500 0.000
0.500 0.500 0.000
```

Energy relative to the elements, uncorrected: -1.135 eV/atom
Final energy: -5.8617 eV/atom


[5]
A plane-wave DFT calculation with PBE-GGA was carried out for NaPuI2 after structural relaxation.

The structure in POSCAR format:
```
NaPuI2
1.0
-0.383 0.614 -4.073
2.835 -1.527 -2.597
-4.906 -9.492 -3.070
Na Pu I
1 1 2
Direct
0.000 0.000 0.000
0.500 0.500 0.500
0.102 0.102 0.693
0.898 0.898 0.307
```

Energy relative to the elements, uncorrected: -0.752 eV/atom
Final energy: -5.4398 eV/atom


[6]
A plane-wave DFT calculation with PBE-GGA was carried out for Na2Pu2I7 after structural relaxation.

The structure in POSCAR format:
```
Na2Pu2I7
1.0
8.115 0.002 -0.003
0.002 7.655 -1.302
-0.002 0.232 7.761
Na I Pu
2 7 2
Direct
0.500 0.726 0.726
0.500 0.274 0.274
0.251 0.000 0.500
0.749 0.500 0.000
0.251 0.500 0.000
0.234 0.500 0.500
0.000 0.000 0.000
0.766 0.500 0.500
0.749 0.000 0.500
0.000 0.275 0.725
0.000 0.725 0.275
```

Energy relative to the elements, uncorrected: -1.075 eV/atom
Final energy: -4.9071 eV/atom


[7]
A plane-wave DFT calculation with PBE-GGA was carried out for Na3PuI6 after structural relaxation.

The structure in POSCAR format:
```
Na3PuI6
1.0
-3.324 1.840 2.401
5.276 -5.665 11.642
5.540 11.952 -1.490
Na I Pu
6 12 2
Direct
0.750 0.174 0.089
0.750 0.489 0.865
0.750 0.633 0.533
0.250 0.367 0.467
0.250 0.511 0.135
0.250 0.826 0.911
0.750 0.092 0.454
0.750 0.366 0.026
0.250 0.185 0.260
0.250 0.205 0.703
0.750 0.795 0.297
0.750 0.815 0.740
0.250 0.053 0.888
0.250 0.550 0.375
0.250 0.634 0.974
0.250 0.908 0.546
0.750 0.450 0.625
0.750 0.947 0.112
0.250 0.960 0.302
0.750 0.040 0.698
```

Energy above the most stable polymorph in this dataset: 41.8 meV/atom
Energy relative to the elements, uncorrected: -1.109 eV/atom
Final energy: -3.8680 eV/atom


[8]
A plane-wave DFT calculation with PBE-GGA was carried out for NaPu4I8 after structural relaxation.

The structure in POSCAR format:
```
NaPu4I8
1.0
9.077 0.000 0.000
4.538 7.861 0.000
4.538 2.620 7.411
Pu I Na
4 8 1
Direct
0.363 0.363 0.910
0.363 0.363 0.363
0.910 0.363 0.363
0.363 0.910 0.363
0.151 0.616 0.616
0.118 0.118 0.645
0.118 0.118 0.118
0.645 0.118 0.118
0.118 0.645 0.118
0.616 0.151 0.616
0.616 0.616 0.151
0.616 0.616 0.616
0.750 0.750 0.750
```

Energy relative to the elements, uncorrected: -0.973 eV/atom
Final energy: -6.4384 eV/atom


> Look up the final energy of the fifth one.

-5.4398 eV/atom


> final energy of number 5 (NaPuI2)?

-5.4398 eV/atom